1.
Density functional theory data (PBE-GGA) for a relaxed HoCoNiGe2 crystal.

Values from the calculation:
E in eV per cell: -29.7
SG: I-4m2, No. 119
Density in g/cm3: 8.854
Crystal system: tetragonal

Cell lengths 5.724, 5.724, 5.724 Å; angles 138.90, 138.90, 59.52 degrees
Fractional positions:
Co  0.000  0.000  0.000
Ge  0.123  0.623  0.500
Ge  0.377  0.877  0.500
Ho  0.750  0.250  0.500
Ni  0.500  0.500  0.000

---

2.
Density functional theory data (PBE-GGA) for a relaxed CsNdAu3O4 crystal.

Values from the calculation:
E in eV per cell: -40.1
SG: P-43m, No. 215
Density in g/cm3: 7.581
Crystal system: cubic

Cell lengths 5.888, 5.888, 5.888 Å; angles 90.00, 90.00, 90.00 degrees
Fractional positions:
Au  0.500  0.500  0.000
Au  0.500  0.000  0.500
Au  0.000  0.500  0.500
Cs  0.000  0.000  0.000
Nd  0.500  0.500  0.500
O  0.281  0.281  0.281
O  0.719  0.719  0.281
O  0.719  0.281  0.719
O  0.281  0.719  0.719

---

3.
Density functional theory data (PBE-GGA) for a relaxed YPaAsO crystal.

Values from the calculation:
SG: P4/nmm, No. 129
Density in g/cm3: 8.394
Excess energy over the best structure of this formula in the dataset in meV per atom: 0
Crystal system: tetragonal

Cell lengths 4.227, 4.227, 9.097 Å; angles 90.00, 90.00, 90.00 degrees
Fractional positions:
As  0.750  0.750  0.277
As  0.250  0.250  0.723
O  0.750  0.250  0.000
O  0.250  0.750  0.000
Pa  0.250  0.250  0.133
Pa  0.750  0.750  0.867
Y  0.750  0.250  0.500
Y  0.250  0.750  0.500

---

4.
Density functional theory data (PBE-GGA) for a relaxed Nd2HoCd3AgAu2 crystal.

Values from the calculation:
SG: Amm2, No. 38
Density in g/cm3: 9.978
DFT formation energy in eV per atom: -0.571
Crystal system: orthorhombic

Cell lengths 3.925, 7.942, 7.942 Å; angles 119.66, 90.00, 90.00 degrees
Fractional positions:
Ag  0.000  0.998  0.998
Au  0.500  0.665  0.340
Au  0.500  0.340  0.665
Cd  0.500  0.262  0.262
Cd  0.500  0.997  0.740
Cd  0.500  0.740  0.997
Ho  0.000  0.591  0.591
Nd  0.000  0.407  0.000
Nd  0.000  0.000  0.407

---

5.
Density functional theory data (PBE-GGA) for a relaxed TmSiNO crystal.

Values from the calculation:
SG: Pca2_1, No. 29
Density in g/cm3: 7.287
Excess energy over the best structure of this formula in the dataset in meV per atom: 155
Crystal system: orthorhombic

Cell lengths 5.264, 8.099, 4.854 Å; angles 90.00, 90.00, 90.00 degrees
Fractional positions:
N  0.383  0.068  0.128
N  0.883  0.932  0.128
N  0.117  0.068  0.628
N  0.617  0.932  0.628
O  0.930  0.260  0.047
O  0.430  0.740  0.047
O  0.570  0.260  0.547
O  0.070  0.740  0.547
Si  0.425  0.090  0.487
Si  0.925  0.910  0.487
Si  0.075  0.090  0.987
Si  0.575  0.910  0.987
Tm  0.523  0.370  0.041
Tm  0.023  0.630  0.041
Tm  0.977  0.370  0.541
Tm  0.477  0.630  0.541

---

6.
Density functional theory data (PBE-GGA) for a relaxed Zr2ZnSe2S2 crystal.

Values from the calculation:
E in eV per cell: -39.8
SG: C2, No. 5
Density in g/cm3: 4.202
Crystal system: monoclinic

Cell lengths 6.829, 6.829, 5.537 Å; angles 112.83, 112.83, 107.57 degrees
Fractional positions:
S  0.344  0.099  0.467
S  0.901  0.656  0.533
Se  0.129  0.386  0.011
Se  0.614  0.871  0.989
Zn  0.002  0.998  0.000
Zr  0.526  0.474  0.000
Zr  0.733  0.267  0.500

---

7.
Density functional theory data (PBE-GGA) for a relaxed LiYZnS3 crystal.

Values from the calculation:
E in eV per cell: -60.5
SG: Cmcm, No. 63
Density in g/cm3: 3.445
Crystal system: orthorhombic

Cell lengths 6.408, 6.408, 10.595 Å; angles 90.00, 90.00, 34.78 degrees
Fractional positions:
Li  0.762  0.762  0.250
Li  0.238  0.238  0.750
S  0.359  0.359  0.078
S  0.091  0.091  0.250
S  0.359  0.359  0.422
S  0.641  0.641  0.578
S  0.909  0.909  0.750
S  0.641  0.641  0.922
Y  0.000  0.000  0.000
Y  0.000  0.000  0.500
Zn  0.474  0.474  0.250
Zn  0.526  0.526  0.750

---

8.
Density functional theory data (PBE-GGA) for a relaxed Ho2TmAl3AgPt2 crystal.

Values from the calculation:
E in eV per cell: -47.8
SG: Amm2, No. 38
Density in g/cm3: 9.927
Crystal system: orthorhombic

Cell lengths 3.884, 7.317, 7.317 Å; angles 119.88, 90.00, 90.00 degrees
Fractional positions:
Ag  0.000  0.001  0.001
Al  0.500  0.259  0.001
Al  0.500  0.001  0.259
Al  0.500  0.740  0.740
Ho  0.000  0.000  0.585
Ho  0.000  0.585  0.000
Pt  0.500  0.665  0.334
Pt  0.500  0.334  0.665
Tm  0.000  0.415  0.415

---

9.
Density functional theory data (PBE-GGA) for a relaxed TaP4S5Cl5 crystal.

Values from the calculation:
E in eV per cell: -145.7
SG: P-1, No. 2
Density in g/cm3: 2.666
Crystal system: triclinic

Cell lengths 6.585, 10.277, 12.998 Å; angles 97.78, 103.74, 106.37 degrees
Fractional positions:
Cl  0.513  0.763  0.008
Cl  0.019  0.159  0.073
Cl  0.389  0.487  0.145
Cl  0.476  0.062  0.186
Cl  0.350  0.299  0.331
Cl  0.650  0.701  0.669
Cl  0.524  0.938  0.814
Cl  0.611  0.513  0.855
Cl  0.981  0.841  0.927
Cl  0.487  0.237  0.992
P  0.965  0.885  0.255
P  0.925  0.576  0.310
P  0.765  0.689  0.410
P  0.873  0.190  0.495
P  0.127  0.810  0.505
P  0.235  0.311  0.590
P  0.075  0.424  0.690
P  0.035  0.115  0.745
S  0.983  0.687  0.189
S  0.828  0.371  0.252
S  0.680  0.820  0.313
S  0.211  0.958  0.409
S  0.208  0.630  0.443
S  0.792  0.370  0.557
S  0.789  0.042  0.591
S  0.320  0.180  0.687
S  0.172  0.629  0.748
S  0.017  0.313  0.811
Ta  0.390  0.263  0.154
Ta  0.610  0.737  0.846

---

10.
Density functional theory data (PBE-GGA) for a relaxed YAl2Co crystal.

Values from the calculation:
E in eV per cell: -46.0
SG: Cmmm, No. 65
Density in g/cm3: 4.537
Crystal system: orthorhombic

Cell lengths 9.344, 9.344, 3.877 Å; angles 90.00, 90.00, 154.12 degrees
Fractional positions:
Al  0.000  0.000  0.000
Al  0.708  0.292  0.000
Al  0.292  0.708  0.000
Al  0.500  0.500  0.500
Co  0.575  0.425  0.000
Co  0.425  0.575  0.000
Y  0.859  0.141  0.500
Y  0.141  0.859  0.500

---

11.
Density functional theory data (PBE-GGA) for a relaxed Na2Ag3 crystal.

Values from the calculation:
E in eV per cell: -11.3
SG: Immm, No. 71
Density in g/cm3: 5.256
Crystal system: orthorhombic

Cell lengths 5.728, 5.728, 5.728 Å; angles 131.05, 121.58, 79.60 degrees
Fractional positions:
Ag  0.257  0.000  0.257
Ag  0.000  0.500  0.500
Ag  0.743  0.000  0.743
Na  0.306  0.306  0.000
Na  0.694  0.694  0.000

---

12.
Density functional theory data (PBE-GGA) for a relaxed K3DyBr6 crystal.

Values from the calculation:
E in eV per cell: -72.4
SG: P2_1/c, No. 14
Density in g/cm3: 3.366
Crystal system: monoclinic

Cell lengths 7.883, 8.405, 13.646 Å; angles 90.00, 124.06, 90.00 degrees
Fractional positions:
Br  0.345  0.321  0.059
Br  0.243  0.778  0.077
Br  0.094  0.445  0.229
Br  0.906  0.945  0.271
Br  0.757  0.278  0.423
Br  0.655  0.821  0.441
Br  0.345  0.179  0.559
Br  0.243  0.722  0.577
Br  0.094  0.055  0.729
Br  0.906  0.555  0.771
Br  0.757  0.222  0.923
Br  0.655  0.679  0.941
Dy  0.000  0.500  0.000
Dy  0.000  0.000  0.500
K  0.500  0.000  0.000
K  0.711  0.579  0.243
K  0.289  0.079  0.257
K  0.500  0.500  0.500
K  0.711  0.921  0.743
K  0.289  0.421  0.757

---

Number 4 is which compound?
Nd2HoCd3AgAu2

---

Number 4 is which compound?
Nd2HoCd3AgAu2